Computed, not measured: a crystal of Fe3Tc2 relaxed with PBEsol at the meta-GGA SCAN level of DFT.

```
Fe3Tc2
1.0
2.582 0.000 0.000
1.291 2.236 0.000
1.291 0.745 10.328
Fe Tc
3 2
direct
0.000 0.000 0.000 Fe
0.198 0.198 0.407 Fe
0.802 0.802 0.593 Fe
0.599 0.599 0.203 Tc
0.401 0.401 0.797 Tc
```

Values from the calculation:
- final energy (eV/atom) = -24.7118